Entry 1:
First-principles (GGA-PBE) data for PmErAlGa after structural relaxation, as listed in Alexandria via LeMat-Bulk.

Output
* formation energy from the elements: -493 meV/atom
* theoretical density: 6.7 g cm⁻³
* crystal system: orthorhombic
* size of the total moment: 0.000 μB/atom

Unit cell a=4.112 b=4.439 c=11.120 alpha=90.00 beta=90.00 gamma=90.00
Space group Amm2 (No. 38)
Inequivalent atoms, fractional coordinates:
Pm (0.000, 0.000, 0.000) x2
Er (0.500, 0.000, 0.281) x2
Al (0.000, 0.000, 0.714) x2
Ga (0.500, 0.000, 0.567) x2

Entry 2:
First-principles (GGA-PBE) data for HfTiH2 after structural relaxation, as listed in Alexandria via LeMat-Bulk.

Output
* theoretical density: 9.0 g cm⁻³
* crystal system: trigonal
* size of the total moment: 0.000 μB/atom
* calculated total energy: -75.32 eV/cell

Unit cell a=3.0010 b=3.0010 c=16.1799 alpha=90.00 beta=90.00 gamma=120.00
Space group R3m (No. 160, hexagonal axes)
Inequivalent atoms, fractional coordinates:
Hf (0.0000, 0.0000, 0.0000) x3
Ti (0.0000, 0.0000, 0.8278) x3
H (0.0000, 0.0000, 0.2350) x3
H (0.0000, 0.0000, 0.4262) x3

Entry 3:
First-principles (GGA-PBE) data for CsLiPrTe2 after structural relaxation, as listed in Alexandria via LeMat-Bulk.

Output
* theoretical density: 4.3 g cm⁻³
* crystal system: orthorhombic
* size of the total moment: 0.074 μB/atom
* formation energy from raw total energies: -0.99 eV/atom

Unit cell a=6.919 b=16.775 c=7.117 alpha=90.00 beta=90.00 gamma=90.00
Space group Cmme (No. 67)
Inequivalent atoms, fractional coordinates:
Cs (0.000, 0.250, 0.240) x4
Li (0.000, 0.000, 0.000) x4
Pr (0.250, 0.000, 0.500) x4
Te (0.000, 0.117, 0.749) x8

Entry 4:
First-principles (GGA-PBE) data for BeCoCu2 after structural relaxation, as listed in Alexandria via LeMat-Bulk.

Output
* formation energy from the elements: 84 meV/atom
* theoretical density: 7.5 g cm⁻³
* crystal system: orthorhombic
* size of the total moment: 0.285 μB/atom

Unit cell a=2.466 b=3.521 c=4.945 alpha=90.00 beta=90.00 gamma=90.00
Space group Pmmm (No. 47)
Inequivalent atoms, fractional coordinates:
Be (0.000, 0.000, 0.000) x1
Co (0.000, 0.000, 0.500) x1
Cu (0.500, 0.500, 0.242) x2

Entry 5:
First-principles (GGA-PBE) data for ThInH after structural relaxation, as listed in Alexandria via LeMat-Bulk.

Output
* theoretical density: 9.4 g cm⁻³
* crystal system: triclinic
* size of the total moment: 0.000 μB/atom
* calculated total energy: -28.85 eV/cell

Unit cell a=3.529 b=5.956 c=6.444 alpha=71.70 beta=74.22 gamma=89.89
Space group P-1 (No. 2)
Inequivalent atoms, fractional coordinates:
Th (0.109, 0.318, 0.283) x2
In (0.357, 0.157, 0.789) x2
H (0.275, 0.611, 0.949) x2

Entry 6:
First-principles (GGA-PBE) data for CeErIn after structural relaxation, as listed in Alexandria via LeMat-Bulk.

Output
* formation energy from the elements: -62 meV/atom
* theoretical density: 8.8 g cm⁻³
* crystal system: trigonal
* size of the total moment: 0.497 μB/atom

Unit cell a=5.3703 b=5.3703 c=3.1850 alpha=90.00 beta=90.00 gamma=120.00
Space group P3m1 (No. 156)
Inequivalent atoms, fractional coordinates:
Ce (0.0000, 0.0000, 0.0000) x1
Er (0.6667, 0.3333, 0.9955) x1
In (0.3333, 0.6667, 0.4985) x1

Entry 7:
First-principles (GGA-PBE) data for K3RbCu4Br12 after structural relaxation, as listed in Alexandria via LeMat-Bulk.

Output
* theoretical density: 2.7 g cm⁻³
* crystal system: trigonal
* size of the total moment: 0.091 μB/atom
* formation energy from raw total energies: -0.81 eV/atom

Unit cell a=14.7708 b=14.7708 c=13.8504 alpha=90.00 beta=90.00 gamma=120.00
Space group R32 (No. 155, hexagonal axes)
Inequivalent atoms, fractional coordinates:
K (0.0000, 0.5290, 0.0000) x9
Rb (0.0000, 0.0000, 0.0000) x3
Cu (0.0000, 0.0000, 0.5000) x3
Cu (0.0000, 0.4588, 0.5000) x9
Br (0.0000, 0.6180, 0.5000) x9
Br (0.0000, 0.8435, 0.5000) x9
Br (0.0052, 0.1692, 0.1839) x18

Entry 8:
First-principles (GGA-PBE) data for TaAlTc2Ag after structural relaxation, as listed in Alexandria via LeMat-Bulk.

Output
* formation energy from the elements: 1474 meV/atom
* theoretical density: 7.5 g cm⁻³
* crystal system: tetragonal
* size of the total moment: 0.496 μB/atom

Unit cell a=4.733 b=4.733 c=5.033 alpha=90.00 beta=90.00 gamma=90.00
Space group P4/mmm (No. 123)
Inequivalent atoms, fractional coordinates:
Ta (0.000, 0.000, 0.000) x1
Al (0.000, 0.000, 0.500) x1
Tc (0.000, 0.500, 0.000) x2
Ag (0.500, 0.500, 0.500) x1

Entry 9:
First-principles (GGA-PBE) data for Cs2HgMoBr6 after structural relaxation, as listed in Alexandria via LeMat-Bulk.

Output
* theoretical density: 4.3 g cm⁻³
* crystal system: tetragonal
* size of the total moment: 0.205 μB/atom
* formation energy from raw total energies: -0.97 eV/atom

Unit cell a=8.273 b=8.273 c=11.736 alpha=90.00 beta=90.00 gamma=90.00
Space group I4/mmm (No. 139)
Inequivalent atoms, fractional coordinates:
Cs (0.000, 0.500, 0.250) x4
Hg (0.000, 0.000, 0.000) x2
Mo (0.000, 0.000, 0.500) x2
Br (0.000, 0.000, 0.281) x4
Br (0.220, 0.220, 0.500) x8

Entry 10:
First-principles (GGA-PBE) data for LiAcNdSb after structural relaxation, as listed in Alexandria via LeMat-Bulk.

Output
* theoretical density: 6.9 g cm⁻³
* crystal system: cubic
* size of the total moment: 0.000 μB/atom
* formation energy from raw total energies: -0.44 eV/atom

Unit cell a=7.837 b=7.837 c=7.837 alpha=90.00 beta=90.00 gamma=90.00
Space group F-43m (No. 216)
Inequivalent atoms, fractional coordinates:
Li (0.000, 0.000, 0.000) x4
Ac (0.250, 0.250, 0.750) x4
Nd (0.250, 0.250, 0.250) x4
Sb (0.000, 0.000, 0.500) x4

Entry 11:
First-principles (GGA-PBE) data for RuCN3 after structural relaxation, as listed in Alexandria via LeMat-Bulk.

Output
* theoretical density: 6.9 g cm⁻³
* crystal system: cubic
* size of the total moment: 0.000 μB/atom
* formation energy from raw total energies: 2.32 eV/atom

Unit cell a=3.341 b=3.341 c=3.341 alpha=90.00 beta=90.00 gamma=90.00
Space group Pm-3m (No. 221)
Inequivalent atoms, fractional coordinates:
Ru (0.000, 0.000, 0.000) x1
C (0.500, 0.500, 0.500) x1
N (0.000, 0.500, 0.500) x3

Entry 12:
First-principles (GGA-PBE) data for LiDyRhAu after structural relaxation, as listed in Alexandria via LeMat-Bulk.

Output
* formation energy from the elements: -583 meV/atom
* theoretical density: 10.5 g cm⁻³
* crystal system: cubic
* size of the total moment: 0.000 μB/atom

Unit cell a=6.665 b=6.665 c=6.665 alpha=90.00 beta=90.00 gamma=90.00
Space group F-43m (No. 216)
Inequivalent atoms, fractional coordinates:
Li (0.000, 0.000, 0.000) x4
Dy (0.000, 0.000, 0.500) x4
Rh (0.250, 0.250, 0.750) x4
Au (0.250, 0.250, 0.250) x4